Compound: Ca2ErTlO
Source: the Alexandria database
Functional: PBE
Structure: relaxed

Magnetization = 0.0 μB/cell
Mass density = 6.94 Mg/m³
Formation energy from raw total energies = -1.3827 eV/atom
Fermi-level density of states = 0.95 states/eV per cell

Lattice parameters (Å, degrees): 4.823 4.823 4.812 90.00 90.00 90.00
Space group P4/mmm (No. 123)
Inequivalent atoms, fractional coordinates:
Ca 0.000 0.500 0.000 [2 per cell]
Er 0.000 0.000 0.500 [1 per cell]
Tl 0.500 0.500 0.500 [1 per cell]
O 0.000 0.000 0.000 [1 per cell]

Compound: PuSc2Tl
Source: the Alexandria database
Functional: PBE
Structure: relaxed

Energy of formation = -1.65 kJ/mol of atoms
Magnetization = 18.8 μB/cell
Mass density = 8.92 Mg/m³
Fermi-level density of states = 30.85 states/eV per cell

Lattice parameters (Å, degrees): 3.3464 3.3464 31.0103 90.00 90.00 120.00
Space group R3m (No. 160, hexagonal axes)
Inequivalent atoms, fractional coordinates:
Pu 0.0000 0.0000 0.0000 [3 per cell]
Sc 0.0000 0.0000 0.5813 [3 per cell]
Sc 0.0000 0.0000 0.7524 [3 per cell]
Tl 0.0000 0.0000 0.1668 [3 per cell]

Compound: YNbP2Rh5
Source: the Alexandria database
Functional: PBE
Structure: relaxed

Energy of formation = -38.91 kJ/mol of atoms
Magnetization = 0.0 μB/cell
Mass density = 7.60 Mg/m³
Fermi-level density of states = 4.67 states/eV per cell

Lattice parameters (Å, degrees): 4.011 4.011 10.300 90.00 90.00 90.00
Space group P4/mmm (No. 123)
Inequivalent atoms, fractional coordinates:
Y 0.000 0.000 0.000 [1 per cell]
Nb 0.500 0.500 0.500 [1 per cell]
P 0.500 0.500 0.217 [2 per cell]
Rh 0.000 0.500 0.327 [4 per cell]
Rh 0.500 0.500 0.000 [1 per cell]

Compound: Tb5Dy6Mg2
Source: the Alexandria database
Functional: PBE
Structure: relaxed

Energy of formation = 13.39 kJ/mol of atoms
Magnetization = 0.0 μB/cell
Mass density = 7.36 Mg/m³
Fermi-level density of states = 46.38 states/eV per cell

Lattice parameters (Å, degrees): 10.337 22.430 3.538 90.00 90.00 90.00
Space group Pbam (No. 55)
Inequivalent atoms, fractional coordinates:
Tb 0.000 0.000 0.000 [2 per cell]
Tb 0.078 0.251 0.000 [4 per cell]
Tb 0.166 0.506 0.000 [4 per cell]
Dy 0.019 0.387 0.500 [4 per cell]
Dy 0.143 0.118 0.500 [4 per cell]
Dy 0.169 0.866 0.000 [4 per cell]
Mg 0.172 0.740 0.500 [4 per cell]

Compound: PmGaB
Source: the Alexandria database
Functional: PBE
Structure: relaxed

Energy of formation = -31.29 kJ/mol of atoms
Magnetization = 0.0 μB/cell
Mass density = 6.94 Mg/m³
Fermi-level density of states = 0.77 states/eV per cell

Lattice parameters (Å, degrees): 3.698 5.225 5.967 76.56 74.22 85.73
Space group P-1 (No. 2)
Inequivalent atoms, fractional coordinates:
Pm 0.129 0.315 0.258 [2 per cell]
Ga 0.435 0.200 0.741 [2 per cell]
B 0.142 0.863 0.042 [2 per cell]

Compound: YTcBIr2
Source: the Alexandria database
Functional: PBE
Structure: relaxed

Energy of formation = -42.99 kJ/mol of atoms
Magnetization = 0.0 μB/cell
Mass density = 12.73 Mg/m³
Fermi-level density of states = 4.18 states/eV per cell

Lattice parameters (Å, degrees): 4.197 4.197 4.312 90.00 90.00 90.00
Space group P4/mmm (No. 123)
Inequivalent atoms, fractional coordinates:
Y 0.000 0.000 0.000 [1 per cell]
Tc 0.500 0.500 0.000 [1 per cell]
B 0.500 0.500 0.500 [1 per cell]
Ir 0.000 0.500 0.500 [2 per cell]

Compound: Tm2MnCu12Ni3
Source: the Alexandria database
Functional: PBE
Structure: relaxed

Energy of formation = 18.87 kJ/mol of atoms
Magnetization = 13.5 μB/cell
Mass density = 8.34 Mg/m³
Fermi-level density of states = 52.62 states/eV per cell

Lattice parameters (Å, degrees): 5.0588 5.0588 35.8666 90.00 90.00 120.00
Space group R-3m (No. 166, hexagonal axes)
Inequivalent atoms, fractional coordinates:
Tm 0.0000 0.0000 0.1444 [6 per cell]
Mn 0.0000 0.0000 0.5000 [3 per cell]
Cu 0.0001 0.5000 0.1091 [18 per cell]
Cu 0.0108 0.5054 0.6129 [18 per cell]
Ni 0.0000 0.5000 0.0000 [9 per cell]

Compound: Li3PuU2Se6
Source: the Alexandria database
Functional: PBE
Structure: relaxed

Magnetization = 22.0 μB/cell
Mass density = 7.17 Mg/m³
Formation energy from raw total energies = -1.2680 eV/atom
Fermi-level density of states = 39.34 states/eV per cell

Lattice parameters (Å, degrees): 7.047 12.209 6.947 90.00 109.77 90.00
Space group C2/m (No. 12)
Inequivalent atoms, fractional coordinates:
Li 0.000 0.000 0.000 [2 per cell]
Li 0.000 0.333 0.000 [4 per cell]
Pu 0.000 0.500 0.500 [2 per cell]
U 0.000 0.166 0.500 [4 per cell]
Se 0.245 0.169 0.242 [8 per cell]
Se 0.248 0.000 0.760 [4 per cell]

Compound: AcPaS3
Source: the Alexandria database
Functional: PBE
Structure: relaxed

Magnetization = 11.0 μB/cell
Mass density = 6.41 Mg/m³
Formation energy from raw total energies = -1.6745 eV/atom
Fermi-level density of states = 23.52 states/eV per cell

Lattice parameters (Å, degrees): 6.9501 6.9501 20.5922 90.00 90.00 120.00
Space group R32 (No. 155, hexagonal axes)
Inequivalent atoms, fractional coordinates:
Ac 0.0000 0.0000 0.1385 [6 per cell]
Pa 0.0000 0.0000 0.3398 [6 per cell]
S 0.0176 0.4058 0.9150 [18 per cell]

Compound: Np2V2Se7
Source: the Alexandria database
Functional: PBE
Structure: relaxed

Magnetization = 80.0 μB/cell
Mass density = 7.08 Mg/m³
Formation energy from raw total energies = -0.7780 eV/atom
Fermi-level density of states = 237.22 states/eV per cell

Lattice parameters (Å, degrees): 12.841 12.841 12.841 90.00 90.00 90.00
Space group Fd-3m (No. 227, origin choice 2)
Inequivalent atoms, fractional coordinates:
Np 0.000 0.000 0.000 [16 per cell]
V 0.000 0.000 0.500 [16 per cell]
Se 0.088 0.375 0.875 [48 per cell]
Se 0.125 0.125 0.125 [8 per cell]

Compound: Ac2PmPuSe4
Source: the Alexandria database
Functional: PBE
Structure: relaxed

Magnetization = 5.9 μB/cell
Mass density = 8.42 Mg/m³
Formation energy from raw total energies = -1.7709 eV/atom
Fermi-level density of states = 10.83 states/eV per cell

Lattice parameters (Å, degrees): 7.474 4.299 7.528 90.00 109.18 90.00
Space group P2/m (No. 10)
Inequivalent atoms, fractional coordinates:
Ac 0.000 0.000 0.000 [1 per cell]
Ac 0.500 0.500 0.000 [1 per cell]
Pm 0.000 0.500 0.500 [1 per cell]
Pu 0.500 0.000 0.500 [1 per cell]
Se 0.246 0.000 0.731 [2 per cell]
Se 0.259 0.500 0.270 [2 per cell]

Compound: Sm12Dy3Al
Source: the Alexandria database
Functional: PBE
Structure: relaxed

Energy of formation = -1.58 kJ/mol of atoms
Magnetization = 0.0 μB/cell
Mass density = 7.52 Mg/m³
Fermi-level density of states = 22.62 states/eV per cell

Lattice parameters (Å, degrees): 5.016 5.016 20.355 90.00 90.00 90.00
Space group P4/mmm (No. 123)
Inequivalent atoms, fractional coordinates:
Sm 0.000 0.000 0.000 [1 per cell]
Sm 0.000 0.000 0.244 [2 per cell]
Sm 0.000 0.000 0.500 [1 per cell]
Sm 0.000 0.500 0.117 [4 per cell]
Sm 0.000 0.500 0.372 [4 per cell]
Dy 0.500 0.500 0.246 [2 per cell]
Dy 0.500 0.500 0.500 [1 per cell]
Al 0.500 0.500 0.000 [1 per cell]

Compound: RbLiV2In
Source: the Alexandria database
Functional: PBE
Structure: relaxed

Energy of formation = 96.93 kJ/mol of atoms
Magnetization = 7.3 μB/cell
Mass density = 3.26 Mg/m³
Fermi-level density of states = 8.28 states/eV per cell

Lattice parameters (Å, degrees): 5.380 5.380 5.437 90.00 90.00 90.00
Space group P4/mmm (No. 123)
Inequivalent atoms, fractional coordinates:
Rb 0.000 0.000 0.000 [1 per cell]
Li 0.500 0.500 0.000 [1 per cell]
V 0.000 0.500 0.500 [2 per cell]
In 0.500 0.500 0.500 [1 per cell]

Compound: Ba2Nd2Ti2Cu2O11
Source: the Alexandria database
Functional: PBE
Structure: relaxed

Magnetization = 0.0 μB/cell
Mass density = 6.42 Mg/m³
Formation energy from raw total energies = -2.6151 eV/atom
Fermi-level density of states = 2.37 states/eV per cell

Lattice parameters (Å, degrees): 3.937 3.937 16.061 90.00 90.00 90.00
Space group P4/mmm (No. 123)
Inequivalent atoms, fractional coordinates:
Ba 0.000 0.000 0.234 [2 per cell]
Nd 0.000 0.000 0.000 [1 per cell]
Nd 0.000 0.000 0.500 [1 per cell]
Ti 0.500 0.500 0.375 [2 per cell]
Cu 0.500 0.500 0.106 [2 per cell]
O 0.000 0.500 0.095 [4 per cell]
O 0.000 0.500 0.388 [4 per cell]
O 0.500 0.500 0.259 [2 per cell]
O 0.500 0.500 0.500 [1 per cell]

Compound: Cs2BeICl6
Source: the Alexandria database
Functional: PBE
Structure: relaxed

Magnetization = 0.0 μB/cell
Mass density = 3.08 Mg/m³
Formation energy from raw total energies = -1.1287 eV/atom
Fermi-level density of states = 16.32 states/eV per cell

Lattice parameters (Å, degrees): 7.750 7.750 11.034 90.00 90.00 90.00
Space group I4/mmm (No. 139)
Inequivalent atoms, fractional coordinates:
Cs 0.000 0.500 0.250 [4 per cell]
Be 0.000 0.000 0.000 [2 per cell]
I 0.000 0.000 0.500 [2 per cell]
Cl 0.000 0.000 0.272 [4 per cell]
Cl 0.195 0.195 0.000 [8 per cell]

Compound: TeSe2Cl
Source: the Alexandria database
Functional: PBE
Structure: relaxed

Magnetization = 0.0 μB/cell
Mass density = 4.81 Mg/m³
Formation energy from raw total energies = 0.0865 eV/atom
Fermi-level density of states = 1.49 states/eV per cell

Lattice parameters (Å, degrees): 3.395 4.515 7.229 90.00 90.08 90.00
Space group Pm (No. 6)
Inequivalent atoms, fractional coordinates:
Te 0.000 0.000 0.000 [1 per cell]
Se 0.000 0.000 0.401 [1 per cell]
Se 0.000 0.500 0.235 [1 per cell]
Cl 0.999 0.500 0.742 [1 per cell]

Compound: La2YTlFe
Source: the Alexandria database
Functional: PBE
Structure: relaxed

Energy of formation = -12.67 kJ/mol of atoms
Magnetization = 0.0 μB/cell
Mass density = 7.27 Mg/m³
Fermi-level density of states = 6.42 states/eV per cell

Lattice parameters (Å, degrees): 5.106 5.106 5.492 90.00 90.00 90.00
Space group P4/mmm (No. 123)
Inequivalent atoms, fractional coordinates:
La 0.000 0.500 0.000 [2 per cell]
Y 0.000 0.000 0.500 [1 per cell]
Tl 0.500 0.500 0.500 [1 per cell]
Fe 0.000 0.000 0.000 [1 per cell]